Record 1
The following is a GGA-PBE calculation of an optimized crystal structure of Ac2Tb8Sm3, from Alexandria via LeMat-Bulk.

density = 7.91 g/cm³
space-group type = C2/m, No. 12
raw total energy = -4.3715 eV/atom
density of states at the Fermi level = 19.0 states/eV per cell
E above lowest polymorph = 0 meV/atom
magnetization = 0.00 μB/f.u.

Cell lengths 9.8064, 9.8064, 6.2549 Å; angles 92.28, 92.28, 49.45 degrees
Last column: nearest neighbours and their distance in Å.
Fractional positions:
Ac1 0.1621 0.1621 0.1948  9 Tb 3.55-3.98
Ac2 0.8379 0.8379 0.8052  9 Tb 3.55-3.98
Tb1 0.0372 0.0372 0.7217  3 Tb 3.02-3.32, 2 Sm 3.19
Tb2 0.1147 0.5475 0.3198  5 Tb 3.32-3.64, 1 Ac 3.55, 2 Sm 3.63-3.69
Tb3 0.3202 0.3202 0.8186  6 Tb 3.60-3.64, 3 Sm 3.68-3.85, 1 Ac 3.75
Tb4 0.4525 0.8853 0.6802  5 Tb 3.32-3.64, 1 Ac 3.55, 2 Sm 3.63-3.69
Tb5 0.5475 0.1147 0.3198  5 Tb 3.32-3.64, 1 Ac 3.55, 2 Sm 3.63-3.69
Tb6 0.6798 0.6798 0.1814  6 Tb 3.60-3.64, 3 Sm 3.68-3.85, 1 Ac 3.75
Tb7 0.8853 0.4525 0.6802  5 Tb 3.32-3.64, 1 Ac 3.55, 2 Sm 3.63-3.69
Tb8 0.9628 0.9628 0.2783  3 Tb 3.02-3.32, 2 Sm 3.19
Sm1 0.3136 0.6864 0.0000  1 Sm 3.06, 2 Tb 3.19
Sm2 0.5000 0.5000 0.5000  4 Sm 3.48, 6 Tb 3.63-3.85
Sm3 0.6864 0.3136 0.0000  1 Sm 3.06, 2 Tb 3.19

Record 2
The following is a GGA-PBE calculation of an optimized crystal structure of YNb2CS, from Alexandria via LeMat-Bulk.

density = 5.44 g/cm³
space-group type = P4/mmm, No. 123
raw total energy = -7.8312 eV/atom
formation energy (no corrections) = 0.16 eV/atom
density of states at the Fermi level = 7.8 states/eV per cell
magnetization = 0.00 μB/f.u.

Cell lengths 4.1602, 4.1602, 5.6246 Å; angles 90.00, 90.00, 90.00 degrees
Last column: nearest neighbours and their distance in Å.
Fractional positions:
Y1 0.0000 0.0000 0.0000  4 S 2.94
Nb1 0.0000 0.5000 0.5000  2 C 2.08
Nb2 0.5000 0.0000 0.5000  2 C 2.08
C1 0.5000 0.5000 0.5000  4 Nb 2.08
S1 0.5000 0.5000 0.0000  2 C 2.81, 4 Y 2.94

Record 3
The following is a GGA-PBE calculation of an optimized crystal structure of YHg4Au, from Alexandria via LeMat-Bulk.

density = 12.49 g/cm³
space-group type = F-43m, No. 216
raw total energy = -1.8317 eV/atom
density of states at the Fermi level = 5.2 states/eV per cell
magnetization = 0.00 μB/f.u.

Cell lengths 5.8926, 5.8926, 5.8926 Å; angles 60.00, 60.00, 60.00 degrees
Last column: nearest neighbours and their distance in Å.
Fractional positions:
Y1 0.0000 0.0000 0.0000  12 Hg 3.46, 4 Au 3.61
Hg1 0.3752 0.3752 0.3752  6 Hg 2.94-2.95
Hg2 0.3752 0.3752 0.8744  6 Hg 2.94-2.95
Hg3 0.3752 0.8744 0.3752  6 Hg 2.94-2.95
Hg4 0.8744 0.3752 0.3752  6 Hg 2.94-2.95
Au1 0.7500 0.7500 0.7500  12 Hg 3.45, 4 Y 3.61

Record 4
The following is a GGA-PBE calculation of an optimized crystal structure of TlFeCo2Re, from Alexandria via LeMat-Bulk.

density = 10.04 g/cm³
space-group type = P4/mmm, No. 123
raw total energy = -6.1466 eV/atom
density of states at the Fermi level = 8.1 states/eV per cell
magnetization = 3.13 μB/f.u.

Cell lengths 4.5184, 4.5184, 4.5733 Å; angles 90.00, 90.00, 90.00 degrees
Last column: nearest neighbours and their distance in Å.
Fractional positions:
Tl1 0.0000 0.0000 0.0000  4 Fe 3.20, 8 Co 3.21
Fe1 0.5000 0.5000 0.0000  2 Re 2.29
Co1 0.0000 0.5000 0.5000  2 Re 2.26
Co2 0.5000 0.0000 0.5000  2 Re 2.26
Re1 0.5000 0.5000 0.5000  4 Co 2.26, 2 Fe 2.29

Record 5
The following is a GGA-PBE calculation of an optimized crystal structure of BeZnPb, from Alexandria via LeMat-Bulk.

density = 7.90 g/cm³
space-group type = P3m1, No. 156
raw total energy = -2.6987 eV/atom
density of states at the Fermi level = 1.2 states/eV per cell
magnetization = 0.00 μB/f.u.

Cell lengths 3.8710, 3.8710, 9.1276 Å; angles 90.00, 90.00, 120.00 degrees
Last column: nearest neighbours and their distance in Å.
Fractional positions:
Be1 0.0000 0.0000 0.0000  3 Zn 2.23, 3 Be 2.35
Be2 0.3333 0.6667 0.0811  4 Zn 2.32-2.35, 3 Be 2.35
Zn1 0.3333 0.6667 0.8271  1 Be 2.32
Zn2 0.6667 0.3333 0.0020  6 Be 2.23-2.35
Pb1 0.0000 0.0000 0.2999  4 Be 2.74-3.00
Pb2 0.6667 0.3333 0.6080  3 Zn 3.00

Record 6
The following is a GGA-PBE calculation of an optimized crystal structure of ZrCrAg2, from Alexandria via LeMat-Bulk.

density = 7.92 g/cm³
space-group type = R-3m, No. 166
raw total energy = -5.5867 eV/atom
density of states at the Fermi level = 12.7 states/eV per cell
E above lowest polymorph = 195 meV/atom
magnetization = 4.12 μB/f.u.

Cell lengths 2.9937, 2.9937, 29.0821 Å; angles 90.00, 90.00, 120.00 degrees
Last column: nearest neighbours and their distance in Å.
Fractional positions:
Zr1 0.0000 0.0000 0.0000  6 Zr 2.99, 6 Ag 3.09
Zr2 0.3333 0.6667 0.6667  6 Zr 2.99, 6 Ag 3.09
Zr3 0.6667 0.3333 0.3333  6 Zr 2.99, 6 Ag 3.09
Cr1 0.0000 0.0000 0.5000  6 Ag 2.86, 6 Cr 2.99
Cr2 0.3333 0.6667 0.1667  6 Ag 2.86, 6 Cr 2.99
Cr3 0.6667 0.3333 0.8333  6 Ag 2.86, 6 Cr 2.99
Ag1 0.0000 0.0000 0.2451  3 Cr 2.86, 6 Ag 2.99, 3 Zr 3.09
Ag2 0.0000 0.0000 0.7549  3 Cr 2.86, 6 Ag 2.99, 3 Zr 3.09
Ag3 0.3333 0.6667 0.4216  3 Cr 2.86, 6 Ag 2.99, 3 Zr 3.09
Ag4 0.3333 0.6667 0.9118  3 Cr 2.86, 6 Ag 2.99, 3 Zr 3.09
Ag5 0.6667 0.3333 0.0882  3 Cr 2.86, 6 Ag 2.99, 3 Zr 3.09
Ag6 0.6667 0.3333 0.5784  3 Cr 2.86, 6 Ag 2.99, 3 Zr 3.09

Record 7
The following is a GGA-PBE calculation of an optimized crystal structure of CrSiPb2, from Alexandria via LeMat-Bulk.

density = 8.83 g/cm³
space-group type = P4/mmm, No. 123
raw total energy = -5.0379 eV/atom
formation energy (no corrections) = 0.58 eV/atom
density of states at the Fermi level = 1.6 states/eV per cell
magnetization = 4.01 μB/f.u.

Cell lengths 4.7587, 4.7587, 4.1070 Å; angles 90.00, 90.00, 90.00 degrees
Last column: nearest neighbours and their distance in Å.
Fractional positions:
Cr1 0.0000 0.0000 0.0000  8 Pb 3.14, 4 Si 3.36
Si1 0.5000 0.5000 0.0000  8 Pb 3.14, 4 Cr 3.36
Pb1 0.0000 0.5000 0.5000  4 Cr 3.14, 4 Si 3.14, 4 Pb 3.36
Pb2 0.5000 0.0000 0.5000  4 Cr 3.14, 4 Si 3.14, 4 Pb 3.36

Record 8
The following is a GGA-PBE calculation of an optimized crystal structure of AlCuBr2, from Alexandria via LeMat-Bulk.

density = 4.01 g/cm³
space-group type = P2/m, No. 10
raw total energy = -2.8617 eV/atom
formation energy (no corrections) = -0.07 eV/atom
density of states at the Fermi level = 0.0 states/eV per cell
E above lowest polymorph = 299 meV/atom
magnetization = 0.00 μB/f.u.

Cell lengths 3.9319, 3.6523, 7.2923 Å; angles 90.00, 98.04, 90.00 degrees
Last column: nearest neighbours and their distance in Å.
Fractional positions:
Al1 0.0000 0.0000 0.0000  8 Br 3.29-3.34, 2 Al 3.65
Cu1 0.5000 0.0000 0.5000  4 Br 2.53
Br1 0.4191 0.5000 0.7310  2 Cu 2.53
Br2 0.5809 0.5000 0.2690  2 Cu 2.53

Record 9
The following is a GGA-PBE calculation of an optimized crystal structure of Be2TlCl, from Alexandria via LeMat-Bulk.

density = 6.10 g/cm³
space-group type = P4/mmm, No. 123
raw total energy = -2.1825 eV/atom
formation energy (no corrections) = 0.73 eV/atom
density of states at the Fermi level = 0.9 states/eV per cell
E above lowest polymorph = 577 meV/atom
magnetization = 0.00 μB/f.u.

Cell lengths 3.1809, 3.1809, 6.9386 Å; angles 90.00, 90.00, 90.00 degrees
Last column: nearest neighbours and their distance in Å.
Fractional positions:
Be1 0.0000 0.0000 0.2429  4 Cl 2.81, 4 Tl 2.87
Be2 0.0000 0.0000 0.7571  4 Cl 2.81, 4 Tl 2.87
Tl1 0.5000 0.5000 0.5000  8 Be 2.87, 4 Tl 3.18
Cl1 0.5000 0.5000 0.0000  8 Be 2.81

Record 10
The following is a GGA-PBE calculation of an optimized crystal structure of Mg2Si3, from Alexandria via LeMat-Bulk.

density = 2.47 g/cm³
space-group type = P1, No. 1
raw total energy = -3.8125 eV/atom
formation energy (no corrections) = 0.08 eV/atom
density of states at the Fermi level = 5.4 states/eV per cell
E above lowest polymorph = 50 meV/atom
magnetization = 0.00 μB/f.u.

Cell lengths 4.1743, 5.3404, 17.4413 Å; angles 86.77, 83.76, 67.45 degrees
Last column: nearest neighbours and their distance in Å.
Fractional positions:
Mg1 0.0000 0.0000 0.0000  8 Si 2.79-3.10
Mg2 0.0014 0.6173 0.3961  6 Si 2.74-2.98
Mg3 0.0742 0.6716 0.1922  9 Si 2.81-3.14
Mg4 0.0834 0.0264 0.7965  7 Si 2.74-3.05
Mg5 0.3265 0.0617 0.2905  8 Si 2.78-3.05
Mg6 0.5164 0.4248 0.5432  5 Si 2.75-3.04
Mg7 0.7496 0.5998 0.9008  8 Si 2.78-3.02
Mg8 0.8482 0.6011 0.6901  6 Si 2.72-3.01
Si1 0.1899 0.0022 0.6177  5 Si 2.49-2.67
Si2 0.2664 0.0162 0.4739  5 Si 2.49-2.64
Si3 0.2770 0.4359 0.0176  4 Si 2.42-2.47
Si4 0.3584 0.4714 0.7939  2 Si 2.40-2.41
Si5 0.4122 0.0710 0.1169  4 Si 2.42-2.47
Si6 0.4666 0.1629 0.9025  2 Si 2.40-2.42
Si7 0.5731 0.1721 0.6855  3 Si 2.41-2.55
Si8 0.6084 0.4990 0.2915  2 Si 2.42-2.43
Si9 0.6683 0.6048 0.0747  4 Si 2.42-2.47
Si10 0.7109 0.1869 0.4006  3 Si 2.42-2.60
Si11 0.8012 0.2392 0.1739  4 Si 2.43-2.47
Si12 0.8274 0.8081 0.5435  4 Si 2.58-2.67, 4 Mg 2.72-2.82

Record 11
The following is a GGA-PBE calculation of an optimized crystal structure of BaHg2Os, from Alexandria via LeMat-Bulk.

density = 12.39 g/cm³
space-group type = Pmmm, No. 47
raw total energy = -2.8835 eV/atom
density of states at the Fermi level = 3.3 states/eV per cell
E above lowest polymorph = 175 meV/atom
magnetization = 1.06 μB/f.u.

Cell lengths 3.2166, 4.1532, 7.3093 Å; angles 90.00, 90.00, 90.00 degrees
Last column: nearest neighbours and their distance in Å.
Fractional positions:
Ba1 0.0000 0.0000 0.0000  2 Ba 3.22, 8 Hg 3.45
Hg1 0.5000 0.5000 0.3061  1 Hg 2.83, 4 Os 2.98
Hg2 0.5000 0.5000 0.6939  1 Hg 2.83, 4 Os 2.98
Os1 0.0000 0.0000 0.5000  8 Hg 2.98, 2 Os 3.22

Record 12
The following is a GGA-PBE calculation of an optimized crystal structure of CaMgAg, from Alexandria via LeMat-Bulk.

density = 3.68 g/cm³
space-group type = P-6m2, No. 187
raw total energy = -2.3425 eV/atom
density of states at the Fermi level = 2.0 states/eV per cell
magnetization = 0.00 μB/f.u.

Cell lengths 4.8617, 4.8617, 3.8022 Å; angles 90.00, 90.00, 120.00 degrees
Last column: nearest neighbours and their distance in Å.
Fractional positions:
Ca1 0.0000 0.0000 0.0000  6 Mg 3.39, 6 Ag 3.39
Mg1 0.6667 0.3333 0.5000  3 Ag 2.81
Ag1 0.3333 0.6667 0.5000  3 Mg 2.81